No. 1
The following is a DFT calculation (PBE-GGA) of a relaxed MgAg2O4 crystal.

Geometry as CIF:
```
data_MgAg2O4
_chemical_formula_sum 'Mg4 Ag8 O16'
_cell_length_a 5.6542
_cell_length_b 6.6683
_cell_length_c 11.8128
_cell_angle_alpha 63.77
_cell_angle_beta 90.00
_cell_angle_gamma 90.00
_space_group_name_H-M_alt 'P 1'
_space_group_IT_number 1
loop_
_space_group_symop_operation_xyz
'x,y,z'
loop_
_atom_site_label
_atom_site_type_symbol
_atom_site_fract_x
_atom_site_fract_y
_atom_site_fract_z
Ag1 Ag 0.0000 0.0000 0.0000
Ag2 Ag 0.5360 0.7436 0.4593
Ag3 Ag 0.4640 0.7436 0.9593
Ag4 Ag 0.4640 0.2564 0.5407
Ag5 Ag 0.0000 0.5000 0.5000
Ag6 Ag 0.0000 0.0000 0.5000
Ag7 Ag 0.0000 0.5000 0.0000
Ag8 Ag 0.5360 0.2564 0.0407
O1 O 0.3490 0.7274 0.2592
O2 O 0.1035 0.8243 0.8894
O3 O 0.2397 0.6242 0.5858
O4 O 0.2397 0.3758 0.9142
O5 O 0.8965 0.1757 0.1106
O6 O 0.7603 0.6242 0.0858
O7 O 0.3240 0.0906 0.3691
O8 O 0.6510 0.7274 0.7592
O9 O 0.1035 0.1757 0.6106
O10 O 0.3240 0.9094 0.1309
O11 O 0.8965 0.8243 0.3894
O12 O 0.6760 0.0906 0.8691
O13 O 0.6760 0.9094 0.6309
O14 O 0.3490 0.2726 0.2408
O15 O 0.7603 0.3758 0.4142
O16 O 0.6510 0.2726 0.7408
Mg1 Mg 0.8724 0.0000 0.7500
Mg2 Mg 0.5888 0.5000 0.2500
Mg3 Mg 0.1276 0.0000 0.2500
Mg4 Mg 0.4112 0.5000 0.7500
```

Results
Its space group is P2/c, No. 13. As for the formation energy from raw total energies: -0.602 eV/atom. The electronic total energy is -31.341 eV/f.u.

***

No. 2
The following is a DFT calculation (PBE-GGA) of a relaxed MgAg2O4 crystal.

Geometry as CIF:
```
data_MgAg2O4
_chemical_formula_sum 'Mg4 Ag8 O16'
_cell_length_a 3.1269
_cell_length_b 9.6708
_cell_length_c 10.9709
_cell_angle_alpha 90.00
_cell_angle_beta 90.00
_cell_angle_gamma 90.00
_space_group_name_H-M_alt 'P 1'
_space_group_IT_number 1
loop_
_space_group_symop_operation_xyz
'x,y,z'
loop_
_atom_site_label
_atom_site_type_symbol
_atom_site_fract_x
_atom_site_fract_y
_atom_site_fract_z
O1 O 0.2500 0.4672 0.7258
O2 O 0.7500 0.7240 0.7963
O3 O 0.2500 0.9672 0.7742
O4 O 0.7500 0.6180 0.5380
O5 O 0.7500 0.0328 0.2258
O6 O 0.2500 0.8820 0.0380
O7 O 0.2500 0.6280 0.0725
O8 O 0.2500 0.1280 0.4275
O9 O 0.2500 0.2760 0.2037
O10 O 0.2500 0.7760 0.2963
O11 O 0.7500 0.5328 0.2742
O12 O 0.7500 0.1180 0.9620
O13 O 0.7500 0.8720 0.5725
O14 O 0.7500 0.2240 0.7037
O15 O 0.2500 0.3820 0.4620
O16 O 0.7500 0.3720 0.9275
Ag1 Ag 0.7500 0.4334 0.1111
Ag2 Ag 0.7500 0.4127 0.6060
Ag3 Ag 0.2500 0.0873 0.1060
Ag4 Ag 0.7500 0.9334 0.3889
Ag5 Ag 0.7500 0.9127 0.8940
Ag6 Ag 0.2500 0.0666 0.6111
Ag7 Ag 0.2500 0.5666 0.8889
Ag8 Ag 0.2500 0.5873 0.3940
Mg1 Mg 0.2500 0.2639 0.8365
Mg2 Mg 0.7500 0.7361 0.1635
Mg3 Mg 0.7500 0.2361 0.3365
Mg4 Mg 0.2500 0.7639 0.6635
```

Results
Its space group is Pnma, No. 62. As for the formation energy from raw total energies: -0.544 eV/atom. The electronic total energy is -30.940 eV/f.u.